(a)
The following is a PBE-GGA calculation of crystalline KPdClF2 at its relaxed geometry, from Alexandria.

Properties
ρ in kg/m3: 3928

a b c (Å): 3.723 13.727 7.246
angles (deg): 90.00 90.00 90.00
Space group Cmcm (No. 63)
Inequivalent atoms, fractional coordinates:
K (0.000, 0.226, 0.250) x4
Pd (0.000, 0.500, 0.000) x4
Cl (0.000, 0.012, 0.750) x4
F (0.000, 0.353, 0.526) x8

(b)
The following is a PBE-GGA calculation of crystalline KPdClF2 at its relaxed geometry, from Alexandria.

Properties
ρ in kg/m3: 3894

a b c (Å): 4.375 4.375 4.878
angles (deg): 90.00 90.00 90.00
Space group P4/mmm (No. 123)
Inequivalent atoms, fractional coordinates:
K (0.000, 0.000, 0.000) x1
Pd (0.500, 0.500, 0.500) x1
Cl (0.500, 0.500, 0.000) x1
F (0.000, 0.500, 0.500) x2

Most stable of them? (a).

(a)
The following is a PBE-GGA calculation of crystalline LaCl3F at its relaxed geometry, from Alexandria.

Properties
ρ in kg/m3: 4027

a b c (Å): 4.776 4.776 4.776
angles (deg): 90.00 90.00 90.00
Space group Pm-3m (No. 221)
Inequivalent atoms, fractional coordinates:
La (0.000, 0.000, 0.000) x1
Cl (0.000, 0.500, 0.500) x3
F (0.500, 0.500, 0.500) x1

(b)
The following is a PBE-GGA calculation of crystalline LaCl3F at its relaxed geometry, from Alexandria.

Properties
ρ in kg/m3: 2543

a b c (Å): 5.567 5.567 5.567
angles (deg): 90.00 90.00 90.00
Space group Pm-3m (No. 221)
Inequivalent atoms, fractional coordinates:
La (0.000, 0.000, 0.000) x1
Cl (0.000, 0.000, 0.500) x3
F (0.500, 0.500, 0.500) x1

Most stable of them? (b).